An optimized crystal structure of AcNbBr2. Source: the Alexandria database, functional GGA-PBE.

Cell: 10.307 10.307 10.307 Å, 19.94 19.94 19.94°
Element x y z (fractional)
Ac 0.000 0.000 0.000
Nb 0.500 0.500 0.500
Br 0.413 0.413 0.413
Br 0.587 0.587 0.587

Results
E_form (uncorrected)	-0.230	eV per atom
M_tot	0.000	μB per formula unit